No. 1
Compound: HoPa
Source: the Alexandria database
Functional: PBE-GGA
Structure: optimized geometry

Properties
**Calculated formation energy**: 3.7 kcal/mol of atoms
**M_tot**: 0.0 μB per formula unit

Unit cell a=3.3463 b=4.7130 c=6.9784 alpha=90.00 beta=90.00 gamma=90.00
Element x y z (fractional)
Ho  0.2500  0.2500  0.1293
Ho  0.7500  0.7500  0.8707
Pa  0.2500  0.2500  0.6112
Pa  0.7500  0.7500  0.3888

=====

No. 2
Compound: CoI2Cl
Source: the Alexandria database
Functional: PBE-GGA
Structure: optimized geometry

Properties
**M_tot**: 2.0 μB per formula unit
**Energy relative to the elements, uncorrected**: 616 meV/atom
**Excess energy over the best structure of this formula in the dataset**: 781.3 meV per atom

Unit cell a=5.1531 b=5.1531 c=5.1531 alpha=60.00 beta=60.00 gamma=60.00
Element x y z (fractional)
Co  0.0000  0.0000  0.0000
I  0.2500  0.2500  0.2500
I  0.7500  0.7500  0.7500
Cl  0.5000  0.5000  0.5000

=====

No. 3
Compound: HfZr4Sc6
Source: the Alexandria database
Functional: PBE-GGA
Structure: optimized geometry

Properties
**Calculated formation energy**: 3.3 kcal/mol of atoms
**M_tot**: 0.0 μB per formula unit

Unit cell a=5.0314 b=5.0314 c=23.0309 alpha=91.07 beta=91.07 gamma=118.16
Element x y z (fractional)
Hf  0.1911  0.8089  0.7500
Hf  0.8089  0.1911  0.2500
Zr  0.1434  0.8425  0.0433
Zr  0.1575  0.8566  0.4567
Zr  0.4187  0.4934  0.1184
Zr  0.4934  0.4187  0.6184
Zr  0.5066  0.5813  0.3816
Zr  0.5813  0.5066  0.8816
Zr  0.8425  0.1434  0.5433
Zr  0.8566  0.1575  0.9567
Sc  0.1210  0.8466  0.1804
Sc  0.1534  0.8790  0.3196
Sc  0.1640  0.7738  0.6065
Sc  0.2262  0.8360  0.8935
Sc  0.4723  0.5277  0.2500
Sc  0.5000  0.5000  0.0000
Sc  0.5000  0.5000  0.5000
Sc  0.5277  0.4723  0.7500
Sc  0.7738  0.1640  0.1065
Sc  0.8360  0.2262  0.3935
Sc  0.8466  0.1210  0.6804
Sc  0.8790  0.1534  0.8196

=====

No. 4
Compound: PuThSbAu
Source: the Alexandria database
Functional: PBE-GGA
Structure: optimized geometry

Properties
**M_tot**: 7.2 μB per formula unit
**Energy relative to the elements, uncorrected**: -534 meV/atom

Unit cell a=5.3265 b=5.3265 c=5.3265 alpha=60.00 beta=60.00 gamma=60.00
Element x y z (fractional)
Pu  0.0000  0.0000  0.0000
Th  0.5000  0.5000  0.5000
Sb  0.7500  0.7500  0.7500
Au  0.2500  0.2500  0.2500

=====

No. 5
Compound: TiTlTe2Pt
Source: the Alexandria database
Functional: PBE-GGA
Structure: optimized geometry

Properties
**M_tot**: 0.0 μB per formula unit
**Energy relative to the elements, uncorrected**: 1428 meV/atom

Unit cell a=5.5777 b=5.5777 c=5.1614 alpha=90.00 beta=90.00 gamma=90.00
Element x y z (fractional)
Ti  0.0000  0.0000  0.0000
Tl  0.0000  0.0000  0.5000
Te  0.0000  0.5000  0.5000
Te  0.5000  0.0000  0.5000
Pt  0.5000  0.5000  0.0000

=====

No. 6
Compound: LiB2Ir4
Source: the Alexandria database
Functional: PBE-GGA
Structure: optimized geometry

Properties
**Calculated formation energy**: 17.6 kcal/mol of atoms
**M_tot**: 0.0 μB per formula unit
**Excess energy over the best structure of this formula in the dataset**: 830.7 meV per atom

Unit cell a=5.9734 b=5.9734 c=5.9734 alpha=139.47 beta=139.47 gamma=58.66
Element x y z (fractional)
Li  0.0000  0.0000  0.0000
B  0.4124  0.4124  0.0000
B  0.5876  0.5876  0.0000
Ir  0.0000  0.5000  0.5000
Ir  0.2216  0.2216  0.0000
Ir  0.5000  0.0000  0.5000
Ir  0.7784  0.7784  0.0000

=====

No. 7
Compound: SmYSn2
Source: the Alexandria database
Functional: PBE-GGA
Structure: optimized geometry

Properties
**Calculated formation energy**: -17.4 kcal/mol of atoms
**M_tot**: 0.0 μB per formula unit

Unit cell a=4.3223 b=6.2036 c=8.4768 alpha=90.00 beta=90.00 gamma=90.00
Element x y z (fractional)
Sm  0.0000  0.1270  0.0000
Sm  0.0000  0.8730  0.5000
Y  0.5000  0.3741  0.3651
Y  0.5000  0.6259  0.8651
Sn  0.0000  0.4053  0.6396
Sn  0.0000  0.5947  0.1396
Sn  0.5000  0.0929  0.7257
Sn  0.5000  0.9071  0.2257

=====

No. 8
Compound: MgZrHg2
Source: the Alexandria database
Functional: PBE-GGA
Structure: optimized geometry

Properties
**Calculated formation energy**: -5.0 kcal/mol of atoms
**M_tot**: 0.0 μB per formula unit

Unit cell a=3.2632 b=3.2632 c=7.9461 alpha=90.00 beta=90.00 gamma=90.00
Element x y z (fractional)
Mg  0.0000  0.0000  0.0000
Zr  0.0000  0.0000  0.5000
Hg  0.5000  0.5000  0.2419
Hg  0.5000  0.5000  0.7581

=====

Question: Which value of M_tot does entry 4 give?
Answer: 7.2 μB per formula unit

=====

Repeat the third record exactly.
Compound: HfZr4Sc6
Source: the Alexandria database
Functional: PBE-GGA
Structure: optimized geometry

Properties
**Calculated formation energy**: 3.3 kcal/mol of atoms
**M_tot**: 0.0 μB per formula unit

Unit cell a=5.0314 b=5.0314 c=23.0309 alpha=91.07 beta=91.07 gamma=118.16
Element x y z (fractional)
Hf  0.1911  0.8089  0.7500
Hf  0.8089  0.1911  0.2500
Zr  0.1434  0.8425  0.0433
Zr  0.1575  0.8566  0.4567
Zr  0.4187  0.4934  0.1184
Zr  0.4934  0.4187  0.6184
Zr  0.5066  0.5813  0.3816
Zr  0.5813  0.5066  0.8816
Zr  0.8425  0.1434  0.5433
Zr  0.8566  0.1575  0.9567
Sc  0.1210  0.8466  0.1804
Sc  0.1534  0.8790  0.3196
Sc  0.1640  0.7738  0.6065
Sc  0.2262  0.8360  0.8935
Sc  0.4723  0.5277  0.2500
Sc  0.5000  0.5000  0.0000
Sc  0.5000  0.5000  0.5000
Sc  0.5277  0.4723  0.7500
Sc  0.7738  0.1640  0.1065
Sc  0.8360  0.2262  0.3935
Sc  0.8466  0.1210  0.6804
Sc  0.8790  0.1534  0.8196

=====

Question: Which value of M_tot does entry 8 give?
Answer: 0.0 μB per formula unit